# 1
## Sm3In5 (GGA-PBEsol)

Data for a geometry-optimized Sm3In5 structure.

a b c (Å): 6.3963 6.3963 10.2852
angles (deg): 90.00 90.00 101.88
Fractional positions:
Sm: 0.6235 0.6235 0.7500
Sm: 0.3765 0.3765 0.2500
Sm: 0.7956 0.2044 0.5000
Sm: 0.7956 0.2044 0.0000
Sm: 0.2044 0.7956 0.5000
Sm: 0.2044 0.7956 0.0000
In: 0.0072 0.0072 0.7500
In: 0.9928 0.9928 0.2500
In: 0.3069 0.3069 0.9530
In: 0.6931 0.6931 0.0470
In: 0.3069 0.3069 0.5470
In: 0.6931 0.6931 0.4530
In: 0.0728 0.5031 0.7500
In: 0.4969 0.9272 0.2500
In: 0.9272 0.4969 0.2500
In: 0.5031 0.0728 0.7500

Values from the calculation:
- Total magnetization: 0.00 μB/f.u.
- Space group: Cmcm
- ΔH_f (0 K): -566 meV per atom

=====

# 2
## Sm2In3Sn3 (GGA-PBEsol)

Data for a geometry-optimized Sm2In3Sn3 structure.

a b c (Å): 4.6290 4.7264 9.0832
angles (deg): 90.00 90.00 90.00
Fractional positions:
Sm: 0.0000 0.0000 0.2476
Sm: 0.0000 0.0000 0.7524
In: 0.5000 0.5000 0.2532
In: 0.5000 0.5000 0.7468
In: 0.0000 0.5000 0.5000
Sn: 0.0000 0.5000 0.0000
Sn: 0.5000 0.0000 0.5000
Sn: 0.5000 0.0000 0.0000

Values from the calculation:
- Total magnetization: 0.00 μB/f.u.
- Space group: Pmmm
- ΔH_f (0 K): -545 meV per atom

=====

# 3
## SmTmIn2 (GGA-PBEsol)

Data for a geometry-optimized SmTmIn2 structure.

a b c (Å): 5.2407 5.2407 5.2407
angles (deg): 60.00 60.00 60.00
Fractional positions:
Tm: 0.5000 0.5000 0.5000
Sm: 0.0000 0.0000 0.0000
In: 0.7500 0.7500 0.7500
In: 0.2500 0.2500 0.2500

Values from the calculation:
- Total magnetization: 0.00 μB/f.u.
- Space group: Fm-3m
- ΔH_f (0 K): -507 meV per atom

=====

# 4
## SmYIn2 (GGA-PBEsol)

Data for a geometry-optimized SmYIn2 structure.

a b c (Å): 5.2738 5.2738 5.2738
angles (deg): 60.00 60.00 60.00
Fractional positions:
Y: 0.5000 0.5000 0.5000
Sm: 0.0000 0.0000 0.0000
In: 0.7500 0.7500 0.7500
In: 0.2500 0.2500 0.2500

Values from the calculation:
- Total magnetization: 0.00 μB/f.u.
- Space group: Fm-3m
- ΔH_f (0 K): -549 meV per atom

=====

# 5
## SmZnIn (GGA-PBEsol)

Data for a geometry-optimized SmZnIn structure.

a b c (Å): 4.6316 4.6316 7.3260
angles (deg): 90.00 90.00 120.00
Fractional positions:
Zn: 0.3333 0.6667 0.7500
Zn: 0.6667 0.3333 0.2500
Sm: 0.0000 0.0000 0.5000
Sm: 0.0000 0.0000 0.0000
In: 0.3333 0.6667 0.2500
In: 0.6667 0.3333 0.7500

Values from the calculation:
- Total magnetization: 0.00 μB/f.u.
- Space group: P6_3/mmc
- ΔH_f (0 K): -479 meV per atom

=====

# 6
## In3Sn (GGA-PBEsol)

Data for a geometry-optimized In3Sn structure.

a b c (Å): 4.6774 4.6774 4.6774
angles (deg): 90.00 90.00 90.00
Fractional positions:
Sn: 0.0000 0.0000 0.0000
In: 0.5000 0.5000 0.0000
In: 0.5000 0.0000 0.5000
In: 0.0000 0.5000 0.5000

Values from the calculation:
- Total magnetization: 0.00 μB/f.u.
- Space group: Pm-3m
- ΔH_f (0 K): 11 meV per atom